VASP calculation (PBE+U) on a geometry-optimized Ba2TbMoO6 structure.

The structure in POSCAR format:
```
Ba2TbMoO6
1.0
6.1375 0.0000 0.0000
3.0688 5.3153 0.0000
3.0688 1.7718 9.9355
Ba O Tb Mo
4 12 2 2
Direct
0.1358 0.1358 0.5927
0.7250 0.7250 0.8250
0.2750 0.2750 0.1750
0.8642 0.8642 0.4073
0.3797 0.3797 0.3811
0.6203 0.6203 0.6189
0.8120 0.2632 0.1128
0.7368 0.1880 0.8872
0.1880 0.1880 0.8872
0.1405 0.6203 0.6189
0.8120 0.8120 0.1128
0.1880 0.7368 0.8872
0.6203 0.1405 0.6189
0.2632 0.8120 0.1128
0.3797 0.8595 0.3811
0.8595 0.3797 0.3811
0.5922 0.5922 0.2235
0.4078 0.4078 0.7765
0.0000 0.0000 0.0000
0.5000 0.5000 0.5000
```

Summary:
Space-group type: R-3m
Calculated volume: 324 Å³ per cell
Uncorrected energy: -142.07 eV/cell